Entry 1:
Here is Co3ClF after structural relaxation from the Alexandria database. Energies are from GGA+U.

Unit cell a=4.2924 b=4.2924 c=4.2924 alpha=90.00 beta=90.00 gamma=90.00
Last column: magnetic moment on the atom in μB.
Fractional positions:
Cl (0.5000, 0.5000, 0.5000)  0.05
Co (0.0000, 0.0000, 0.5000)  1.99
Co (0.5000, 0.0000, 0.0000)  1.92
Co (0.0000, 0.5000, 0.0000)  1.96
F (0.0000, 0.0000, 0.0000)  0.00

ΔE to the lowest computed polymorph, kJ/mol of atoms: 0.0

Entry 2:
Here is CoClF5 after structural relaxation from the Alexandria database. Energies are from GGA+U.

Unit cell a=5.5351 b=5.5423 c=8.7770 alpha=121.70 beta=104.68 gamma=78.33
Last column: magnetic moment on the atom in μB.
Fractional positions:
F (0.2255, 0.6183, 0.4528)  0.21
F (0.9433, 0.1878, 0.2486)  0.04
F (0.0548, 0.8146, 0.7501)  0.04
F (0.6530, 0.2166, 0.9524)  -0.05
Cl (0.5330, 0.7832, 0.2478)  -0.31
Co (0.9989, 0.5014, 0.4993)  2.94
F (0.8427, 0.7170, 0.9464)  0.21
F (0.2721, 0.2138, 0.5487)  -0.04
F (0.7258, 0.7890, 0.4502)  -0.04
F (0.3455, 0.7857, 0.0461)  -0.05
F (0.1562, 0.2851, 0.0526)  0.21
Co (0.9991, 0.0012, 0.9994)  2.92
Cl (0.4651, 0.2194, 0.7508)  -0.31
F (0.7722, 0.3844, 0.5457)  0.21

E_tot, eV/f.u.: -24.75

Entry 3:
Here is CoCl3F after structural relaxation from the Alexandria database. Energies are from GGA+U.

Unit cell a=4.6720 b=4.6720 c=4.6720 alpha=90.00 beta=90.00 gamma=90.00
Last column: magnetic moment on the atom in μB.
Fractional positions:
Cl (0.0000, 0.0000, 0.5000)  0.17
Cl (0.5000, 0.0000, 0.0000)  0.55
F (0.5000, 0.5000, 0.5000)  0.57
Co (0.0000, 0.0000, 0.0000)  2.62
Cl (0.0000, 0.5000, 0.0000)  0.29

ΔE to the lowest computed polymorph, kJ/mol of atoms: 0.0

Entry 4:
Here is Co5Cl12F3 after structural relaxation from the Alexandria database. Energies are from GGA+U.

Unit cell a=12.9599 b=12.9599 c=12.9599 alpha=109.47 beta=109.47 gamma=109.47
Last column: magnetic moment on the atom in μB.
Fractional positions:
F (0.2500, 0.6250, 0.8750)  0.54
Cl (0.8877, 0.3096, 0.4817)  0.13
Cl (0.0940, 0.9219, 0.1123)  0.13
Co (0.6250, 0.8750, 0.2500)  2.62
Co (0.8750, 0.2500, 0.6250)  2.62
F (0.6250, 0.2500, 0.3750)  0.54
Cl (0.1721, 0.0781, 0.6904)  0.13
Cl (0.8279, 0.9219, 0.3096)  0.13
Cl (0.5940, 0.6123, 0.4219)  0.13
Cl (0.0781, 0.9060, 0.3877)  0.13
Cl (0.5183, 0.1904, 0.1123)  0.13
Cl (0.4219, 0.1123, 0.5940)  0.13
F (0.7500, 0.3750, 0.1250)  0.54
Co (0.7500, 0.1250, 0.8750)  2.62
F (0.8750, 0.7500, 0.1250)  0.54
Cl (0.0183, 0.4060, 0.8279)  0.13
Cl (0.5781, 0.6904, 0.6721)  0.13
Cl (0.3279, 0.5183, 0.4060)  0.13
Co (0.5000, 0.0000, 0.5000)  0.10
Cl (0.0183, 0.6123, 0.6904)  0.13
Co (0.0000, 0.5000, 0.5000)  0.10
Co (0.2500, 0.3750, 0.6250)  2.62
Cl (0.3279, 0.8096, 0.4219)  0.13
Cl (0.9817, 0.3877, 0.3096)  0.13
Cl (0.9219, 0.0940, 0.6123)  0.13
Cl (0.3877, 0.9817, 0.8096)  0.13
Cl (0.4817, 0.6721, 0.0940)  0.13
Cl (0.6123, 0.5940, 0.9219)  0.13
Cl (0.4060, 0.3877, 0.5781)  0.13
Cl (0.9219, 0.8279, 0.8096)  0.13
Cl (0.6904, 0.5781, 0.1721)  0.13
Cl (0.6123, 0.0183, 0.1904)  0.13
Cl (0.6721, 0.1904, 0.5781)  0.13
Cl (0.4060, 0.0183, 0.3279)  0.13
F (0.2500, 0.1250, 0.3750)  0.54
Cl (0.8877, 0.5781, 0.9060)  0.13
Cl (0.9060, 0.8279, 0.5183)  0.13
Cl (0.6904, 0.1123, 0.0183)  0.13
Cl (0.1904, 0.6721, 0.0781)  0.13
Co (0.0000, 0.0000, 0.5000)  0.10
Cl (0.4817, 0.8096, 0.8877)  0.13
Co (0.5000, 0.5000, 0.0000)  0.10
Co (0.8750, 0.6250, 0.7500)  2.62
Cl (0.8279, 0.9060, 0.0183)  0.13
Cl (0.1904, 0.5183, 0.6123)  0.13
Cl (0.5781, 0.8877, 0.4060)  0.13
Cl (0.5183, 0.3279, 0.9060)  0.13
Cl (0.3877, 0.4060, 0.0781)  0.13
Cl (0.3096, 0.8877, 0.9817)  0.13
Cl (0.4219, 0.3096, 0.3279)  0.13
Cl (0.8096, 0.3279, 0.9219)  0.13
F (0.7500, 0.8750, 0.6250)  0.54
Cl (0.5940, 0.9817, 0.6721)  0.13
F (0.8750, 0.1250, 0.2500)  0.54
Co (0.5000, 0.0000, 0.0000)  0.10
Cl (0.6721, 0.4817, 0.5940)  0.13
Co (0.5000, 0.5000, 0.5000)  0.10
Co (0.0000, 0.0000, 0.0000)  0.10
Cl (0.9817, 0.5940, 0.1721)  0.13
Cl (0.0781, 0.1721, 0.1904)  0.13
Co (0.7500, 0.6250, 0.3750)  2.62
Co (0.3750, 0.1250, 0.7500)  2.62
F (0.3750, 0.7500, 0.6250)  0.54
Co (0.0000, 0.5000, 0.0000)  0.10
F (0.1250, 0.2500, 0.8750)  0.54
Cl (0.0940, 0.1721, 0.4817)  0.13
Co (0.3750, 0.2500, 0.1250)  2.62
F (0.1250, 0.8750, 0.7500)  0.54
Cl (0.1721, 0.0940, 0.9817)  0.13
Cl (0.1123, 0.4219, 0.0940)  0.13
Co (0.1250, 0.7500, 0.3750)  2.62
Co (0.2500, 0.8750, 0.1250)  2.62
F (0.6250, 0.3750, 0.7500)  0.54
Cl (0.3096, 0.4219, 0.8279)  0.13
Cl (0.8096, 0.4817, 0.3877)  0.13
Cl (0.1123, 0.6904, 0.5183)  0.13
Co (0.6250, 0.7500, 0.8750)  2.62
Cl (0.9060, 0.0781, 0.8877)  0.13
Co (0.1250, 0.3750, 0.2500)  2.62
F (0.3750, 0.6250, 0.2500)  0.54

E_tot, eV/f.u.: -61.05

Entry 5:
Here is CoClF2 after structural relaxation from the Alexandria database. Energies are from GGA+U.

Unit cell a=4.1903 b=4.1903 c=4.1903 alpha=60.00 beta=60.00 gamma=60.00
Last column: magnetic moment on the atom in μB.
Fractional positions:
F (0.2500, 0.2500, 0.2500)  0.23
Cl (0.0000, 0.0000, 0.0000)  0.57
F (0.7500, 0.7500, 0.7500)  0.23
Co (0.5000, 0.5000, 0.5000)  2.81

ΔE to the lowest computed polymorph, kJ/mol of atoms: 101.4

Entry 6:
Here is CoCl3F after structural relaxation from the Alexandria database. Energies are from GGA+U.

Unit cell a=4.5848 b=4.5848 c=4.5848 alpha=90.00 beta=90.00 gamma=90.00
Last column: magnetic moment on the atom in μB.
Fractional positions:
Cl (0.0000, 0.5000, 0.0000)  0.02
Cl (0.5000, 0.0000, 0.0000)  0.02
Cl (0.0000, 0.0000, 0.5000)  0.01
Co (0.5000, 0.5000, 0.5000)  2.66
F (0.0000, 0.0000, 0.0000)  -0.01

ΔE to the lowest computed polymorph, kJ/mol of atoms: 54.2

Entry 7:
Here is CoClF2 after structural relaxation from the Alexandria database. Energies are from GGA+U.

Unit cell a=3.3006 b=5.4466 c=8.4699 alpha=96.07 beta=86.46 gamma=90.03
Last column: magnetic moment on the atom in μB.
Fractional positions:
F (0.7961, 0.6602, 0.4404)  0.08
F (0.2956, 0.1577, 0.4387)  0.08
Cl (0.4358, 0.4256, 0.0740)  0.00
Cl (0.6163, 0.7618, 0.0298)  0.00
F (0.2604, 0.5253, 0.6627)  0.08
F (0.7609, 0.0279, 0.6645)  0.08
Co (0.7781, 0.3425, 0.5508)  2.78
Co (0.2784, 0.8430, 0.5524)  2.78

ΔE to the lowest computed polymorph, kJ/mol of atoms: 0.0

Entry 8:
Here is Co2ClF3 after structural relaxation from the Alexandria database. Energies are from GGA+U.

Unit cell a=3.2942 b=6.4746 c=10.4253 alpha=78.58 beta=80.91 gamma=75.26
Last column: magnetic moment on the atom in μB.
Fractional positions:
F (0.6767, 0.6682, 0.9784)  0.09
F (0.1900, 0.8825, 0.7376)  0.09
Co (0.7322, 0.4047, 0.1309)  2.74
Co (0.2678, 0.5953, 0.8691)  2.74
F (0.6638, 0.1621, 0.5104)  0.09
F (0.8100, 0.1175, 0.2624)  0.09
F (0.3362, 0.8379, 0.4896)  0.09
F (0.3233, 0.3318, 0.0216)  0.09
Cl (0.1003, 0.5236, 0.2757)  0.09
Co (0.7672, 0.8511, 0.6145)  2.77
Cl (0.8997, 0.4764, 0.7243)  0.09
Co (0.2328, 0.1489, 0.3855)  2.77

E_tot, eV/f.u.: -28.22

Entry 9:
Here is Co2ClF after structural relaxation from the Alexandria database. Energies are from GGA+U.

Unit cell a=4.1947 b=4.1947 c=4.1947 alpha=60.00 beta=60.00 gamma=60.00
Last column: magnetic moment on the atom in μB.
Fractional positions:
Co (0.2500, 0.2500, 0.2500)  2.09
F (0.0000, 0.0000, 0.0000)  0.07
Co (0.7500, 0.7500, 0.7500)  2.09
Cl (0.5000, 0.5000, 0.5000)  0.07

ΔE to the lowest computed polymorph, kJ/mol of atoms: 41.5

Entry 10:
Here is CoClF2 after structural relaxation from the Alexandria database. Energies are from GGA+U.

Unit cell a=6.1187 b=6.1187 c=6.2042 alpha=60.45 beta=60.45 gamma=90.00
Last column: magnetic moment on the atom in μB.
Fractional positions:
Cl (0.5000, 0.5000, 0.0000)  0.58
Co (0.0000, 0.0000, 0.0000)  2.92
F (0.3750, 0.1286, 0.7500)  0.12
F (0.8786, 0.6250, 0.2500)  0.12
Cl (0.2500, 0.7500, 0.5000)  0.58
Co (0.7500, 0.2500, 0.5000)  2.92
F (0.8750, 0.1214, 0.7500)  0.12
F (0.8714, 0.1250, 0.2500)  0.12

ΔE to the lowest computed polymorph, kJ/mol of atoms: 31.0

Entry 11:
Here is Co2ClF after structural relaxation from the Alexandria database. Energies are from GGA+U.

Unit cell a=6.1319 b=6.1319 c=5.3673 alpha=55.16 beta=55.16 gamma=90.00
Last column: magnetic moment on the atom in μB.
Fractional positions:
Cl (0.7500, 0.2500, 0.5000)  0.03
Co (0.5872, 0.1250, 0.2500)  1.96
F (0.2500, 0.7500, 0.5000)  0.02
Co (0.1628, 0.6250, 0.2500)  1.96
Co (0.8750, 0.8372, 0.7500)  1.96
Cl (0.0000, 0.0000, 0.0000)  0.03
Co (0.3750, 0.4128, 0.7500)  1.97
F (0.5000, 0.5000, 0.0000)  0.02

ΔE to the lowest computed polymorph, kJ/mol of atoms: 0.0

Entry 12:
Here is CoClF2 after structural relaxation from the Alexandria database. Energies are from GGA+U.

Unit cell a=9.8092 b=9.8092 c=9.8092 alpha=16.68 beta=16.68 gamma=16.68
Last column: magnetic moment on the atom in μB.
Fractional positions:
Cl (0.5000, 0.5000, 0.5000)  -0.13
F (0.9412, 0.9412, 0.9412)  0.18
Co (0.0000, 0.0000, 0.0000)  2.54
F (0.0588, 0.0588, 0.0588)  0.18

ΔE to the lowest computed polymorph, kJ/mol of atoms: 77.3

Entry 13:
Here is CoCl3F4 after structural relaxation from the Alexandria database. Energies are from GGA+U.

Unit cell a=3.9038 b=10.9013 c=10.6524 alpha=53.37 beta=86.68 gamma=72.61
Last column: magnetic moment on the atom in μB.
Fractional positions:
F (0.5622, 0.3489, 0.2278)  0.15
F (0.6209, 0.3544, 0.8548)  0.15
F (0.9582, 0.9038, 0.1109)  0.22
Cl (0.5515, 0.7961, 0.6375)  0.20
F (0.2947, 0.1272, 0.9624)  0.12
F (0.7503, 0.1456, 0.1452)  0.15
F (0.8090, 0.1511, 0.7722)  0.15
Cl (0.7407, 0.5433, 0.5810)  0.20
Co (0.7996, 0.1207, 0.9655)  3.20
F (0.4129, 0.5962, 0.8891)  0.22
F (0.0764, 0.3728, 0.0376)  0.12
Cl (0.6304, 0.9567, 0.4190)  0.20
Cl (0.3704, 0.2189, 0.5838)  0.04
Cl (0.0007, 0.2811, 0.4162)  0.04
Co (0.5716, 0.3793, 0.0344)  3.20
Cl (0.8197, 0.7039, 0.3625)  0.20

E_tot, eV/f.u.: -26.23

Entry 14:
Here is Fe2CoClF after structural relaxation from the Alexandria database. Energies are from GGA+U.

Unit cell a=4.9396 b=4.0435 c=4.9396 alpha=90.00 beta=90.00 gamma=90.00
Last column: magnetic moment on the atom in μB.
Fractional positions:
Fe (0.5000, 0.0000, 0.0000)  3.84
Fe (0.0000, 0.0000, 0.5000)  3.81
F (0.0000, 0.5000, 0.0000)  0.01
Co (0.0000, 0.0000, 0.0000)  1.85
Cl (0.5000, 0.5000, 0.5000)  0.12

E_tot, eV/f.u.: -19.04

Entry 15:
Here is KCoCl2F after structural relaxation from the Alexandria database. Energies are from GGA+U.

Unit cell a=5.0696 b=5.0696 c=3.9555 alpha=90.00 beta=90.00 gamma=90.00
Last column: magnetic moment on the atom in μB.
Fractional positions:
Co (0.0000, 0.0000, 0.0000)  2.72
F (0.0000, 0.0000, 0.5000)  0.12
Cl (0.0000, 0.5000, 0.0000)  0.05
K (0.5000, 0.5000, 0.5000)  0.00
Cl (0.5000, 0.0000, 0.0000)  0.05

E_tot, eV/f.u.: -19.31

Entry 16:
Here is K3CoCl2F6 after structural relaxation from the Alexandria database. Energies are from GGA+U.

Unit cell a=5.8723 b=6.0270 c=7.4014 alpha=114.03 beta=90.87 gamma=90.00
Last column: magnetic moment on the atom in μB.
Fractional positions:
K (0.5000, 0.0000, 0.5000)  0.00
F (0.3124, 0.1056, 0.2112)  -0.01
F (0.6645, 0.2783, 0.1248)  0.00
K (0.0000, 0.5000, 0.0000)  0.00
F (0.6645, 0.8465, 0.1248)  0.00
Co (0.5000, 0.0000, 0.0000)  1.02
F (0.3355, 0.7217, 0.8752)  0.00
F (0.6876, 0.8944, 0.7888)  -0.01
F (0.3355, 0.1535, 0.8752)  0.00
Cl (0.0152, 0.7367, 0.4733)  0.09
K (0.5000, 0.5000, 0.5000)  0.00
Cl (0.9848, 0.2633, 0.5267)  0.09

E_tot, eV/f.u.: -45.87

Entry 17:
Here is K3Co2Cl3F4 after structural relaxation from the Alexandria database. Energies are from GGA+U.

Unit cell a=4.1038 b=4.9410 c=12.2056 alpha=101.68 beta=99.68 gamma=90.00
Last column: magnetic moment on the atom in μB.
Fractional positions:
Cl (0.1044, 0.6021, 0.2042)  0.04
Co (0.1133, 0.1110, 0.2220)  2.75
K (0.6967, 0.6944, 0.3889)  0.00
Cl (0.0022, 0.0000, 0.0000)  0.05
F (0.6143, 0.1119, 0.2239)  0.07
F (0.3904, 0.8881, 0.7761)  0.07
K (0.5022, 0.5000, 0.0000)  0.00
Cl (0.9002, 0.3979, 0.7958)  0.04
F (0.8064, 0.8040, 0.6080)  0.05
K (0.3079, 0.3056, 0.6111)  0.00
Co (0.8913, 0.8890, 0.7780)  2.75
F (0.1985, 0.1960, 0.3920)  0.05

E_tot, eV/f.u.: -49.98

Entry 18:
Here is K2CoCl4F2 after structural relaxation from the Alexandria database. Energies are from GGA+U.

Unit cell a=6.7535 b=6.6974 c=6.6974 alpha=61.49 beta=58.96 gamma=58.96
Last column: magnetic moment on the atom in μB.
Fractional positions:
Cl (0.2954, 0.2077, 0.7377)  -0.05
F (0.2538, 0.1931, 0.1931)  0.01
K (0.2097, 0.7502, 0.7502)  0.00
Cl (0.7046, 0.2623, 0.7923)  -0.05
Cl (0.2954, 0.7377, 0.2077)  -0.05
F (0.7462, 0.8069, 0.8069)  0.01
Co (0.5000, 0.0000, 0.0000)  1.20
K (0.7903, 0.2498, 0.2498)  0.00
Cl (0.7046, 0.7923, 0.2623)  -0.05

E_tot, eV/f.u.: -31.77

Entry 19:
Here is K3Co2Cl2F5 after structural relaxation from the Alexandria database. Energies are from GGA+U.

Unit cell a=4.2016 b=4.2016 c=12.3306 alpha=99.81 beta=99.81 gamma=90.00
Last column: magnetic moment on the atom in μB.
Fractional positions:
F (0.0850, 0.5850, 0.1700)  0.06
F (0.5000, 0.5000, 0.0000)  0.04
K (0.1708, 0.1708, 0.3416)  0.00
K (0.8292, 0.8292, 0.6584)  0.00
Co (0.5869, 0.5869, 0.1738)  2.80
F (0.4150, 0.9150, 0.8300)  0.06
F (0.5850, 0.0850, 0.1700)  0.06
Co (0.4131, 0.4131, 0.8262)  2.80
Cl (0.6897, 0.6897, 0.3794)  0.02
F (0.9150, 0.4150, 0.8300)  0.06
K (0.0000, 0.0000, 0.0000)  0.00
Cl (0.3103, 0.3103, 0.6206)  0.02

E_tot, eV/f.u.: -52.60

Entry 20:
Here is K2CoCl2F4 after structural relaxation from the Alexandria database. Energies are from GGA+U.

Unit cell a=6.0074 b=6.0111 c=6.0111 alpha=62.61 beta=85.18 gamma=85.18
Last column: magnetic moment on the atom in μB.
Fractional positions:
Cl (0.8005, 0.8489, 0.8489)  -0.07
F (0.3736, 0.1162, 0.7003)  0.00
F (0.3736, 0.7003, 0.1162)  0.00
K (0.6940, 0.3231, 0.3231)  0.00
K (0.3060, 0.6769, 0.6769)  0.00
Cl (0.1995, 0.1511, 0.1511)  -0.07
Co (0.5000, 0.0000, 0.0000)  1.10
F (0.6264, 0.2997, 0.8838)  0.00
F (0.6264, 0.8838, 0.2997)  0.00

E_tot, eV/f.u.: -35.16